# MgSnIrOs2 (PBE-GGA, relaxed)
data_MgSnIrOs2
_chemical_formula_sum 'Mg1 Sn1 Ir1 Os2'
_symmetry_space_group_name_H-M 'P 4/m m m'
_symmetry_Int_Tables_number 123
_symmetry_space_group_name_Hall '-P 4 2'
_cell_length_a 4.4663
_cell_length_b 4.4663
_cell_length_c 4.6918
_cell_angle_alpha 90.00
_cell_angle_beta 90.00
_cell_angle_gamma 90.00
loop_
_atom_site_label
_atom_site_fract_x
_atom_site_fract_y
_atom_site_fract_z
Mg1 0.0000 0.0000 0.0000
Sn1 0.0000 0.0000 0.5000
Ir1 0.5000 0.5000 0.5000
Os1 0.0000 0.5000 0.0000
# ΔE_f: 2.196 eV/atom
# raw total energy: -5.1877 eV/atom


# MgTaIrOs (PBE-GGA, relaxed)
data_MgTaIrOs
_chemical_formula_sum 'Mg4 Ta4 Ir4 Os4'
_symmetry_space_group_name_H-M 'F -4 3 m'
_symmetry_Int_Tables_number 216
_symmetry_space_group_name_Hall 'F -4 2 3'
_cell_length_a 6.2917
_cell_length_b 6.2917
_cell_length_c 6.2917
_cell_angle_alpha 90.00
_cell_angle_beta 90.00
_cell_angle_gamma 90.00
loop_
_atom_site_label
_atom_site_fract_x
_atom_site_fract_y
_atom_site_fract_z
Mg1 0.0000 0.0000 0.0000
Ta1 0.0000 0.0000 0.5000
Ir1 0.2500 0.2500 0.7500
Os1 0.2500 0.2500 0.2500
# ΔE_f: -0.456 eV/atom
# raw total energy: -8.8406 eV/atom


# MgUIrOs (PBE-GGA, relaxed)
data_MgUIrOs
_chemical_formula_sum 'Mg4 U4 Ir4 Os4'
_symmetry_space_group_name_H-M 'F -4 3 m'
_symmetry_Int_Tables_number 216
_symmetry_space_group_name_Hall 'F -4 2 3'
_cell_length_a 6.5838
_cell_length_b 6.5838
_cell_length_c 6.5838
_cell_angle_alpha 90.00
_cell_angle_beta 90.00
_cell_angle_gamma 90.00
loop_
_atom_site_label
_atom_site_fract_x
_atom_site_fract_y
_atom_site_fract_z
Mg1 0.0000 0.0000 0.0000
U1 0.0000 0.0000 0.5000
Ir1 0.2500 0.2500 0.2500
Os1 0.2500 0.2500 0.7500
# ΔE_f: -0.194 eV/atom
# raw total energy: -8.4372 eV/atom


# Mg2ZnIrOs (PBE-GGA, relaxed)
data_Mg2ZnIrOs
_chemical_formula_sum 'Mg2 Zn1 Ir1 Os1'
_symmetry_space_group_name_H-M 'P 4/m m m'
_symmetry_Int_Tables_number 123
_symmetry_space_group_name_Hall '-P 4 2'
_cell_length_a 4.5567
_cell_length_b 4.5567
_cell_length_c 4.5181
_cell_angle_alpha 90.00
_cell_angle_beta 90.00
_cell_angle_gamma 90.00
loop_
_atom_site_label
_atom_site_fract_x
_atom_site_fract_y
_atom_site_fract_z
Mg1 0.0000 0.5000 0.0000
Zn1 0.0000 0.0000 0.0000
Ir1 0.0000 0.0000 0.5000
Os1 0.5000 0.5000 0.5000
# ΔE_f: 1.164 eV/atom
# raw total energy: -3.7468 eV/atom


# MgP2Ir (PBE-GGA, relaxed)
data_MgP2Ir
_chemical_formula_sum 'Mg2 P4 Ir2'
_symmetry_space_group_name_H-M 'I m m m'
_symmetry_Int_Tables_number 71
_symmetry_space_group_name_Hall '-I 2 2'
_cell_length_a 2.9274
_cell_length_b 4.5503
_cell_length_c 10.5262
_cell_angle_alpha 90.00
_cell_angle_beta 90.00
_cell_angle_gamma 90.00
loop_
_atom_site_label
_atom_site_fract_x
_atom_site_fract_y
_atom_site_fract_z
Mg1 0.0000 0.0000 0.0000
P1 0.0000 0.5000 0.1819
Ir1 0.0000 0.0000 0.5000
# ΔE_f: -0.107 eV/atom
# raw total energy: -5.4259 eV/atom


# Mg3PIr (PBE-GGA, relaxed)
data_Mg3PIr
_chemical_formula_sum 'Mg3 P1 Ir1'
_symmetry_space_group_name_H-M 'P m -3 m'
_symmetry_Int_Tables_number 221
_symmetry_space_group_name_Hall '-P 4 2 3'
_cell_length_a 4.8824
_cell_length_b 4.8824
_cell_length_c 4.8824
_cell_angle_alpha 90.00
_cell_angle_beta 90.00
_cell_angle_gamma 90.00
loop_
_atom_site_label
_atom_site_fract_x
_atom_site_fract_y
_atom_site_fract_z
Mg1 0.0000 0.0000 0.5000
P1 0.5000 0.5000 0.5000
Ir1 0.0000 0.0000 0.0000
# ΔE_f: 0.295 eV/atom
# energy above the lowest structure with this stoichiometry: 25 meV/atom
# raw total energy: -3.5156 eV/atom


# MgP2Ir (PBE-GGA, relaxed)
data_MgP2Ir
_chemical_formula_sum 'Mg1 P2 Ir1'
_symmetry_space_group_name_H-M 'P 4 m m'
_symmetry_Int_Tables_number 99
_cell_length_a 2.8785
_cell_length_b 2.8785
_cell_length_c 8.0566
_cell_angle_alpha 90.00
_cell_angle_beta 90.00
_cell_angle_gamma 90.00
loop_
_symmetry_equiv_pos_as_xyz
'x,y,z'
'-y,x,z'
'-x,-y,z'
'y,-x,z'
'-x,y,z'
'y,x,z'
'x,-y,z'
'-y,-x,z'
loop_
_atom_site_label
_atom_site_fract_x
_atom_site_fract_y
_atom_site_fract_z
Mg1 0.0000 0.0000 0.0000
P1 0.0000 0.0000 0.5773
P2 0.5000 0.5000 0.2315
Ir1 0.5000 0.5000 0.7407
# ΔE_f: -0.111 eV/atom
# raw total energy: -5.4295 eV/atom


# MgP2Ir (PBE-GGA, relaxed)
data_MgP2Ir
_chemical_formula_sum 'Mg2 P4 Ir2'
_symmetry_space_group_name_H-M 'I -4 m 2'
_symmetry_Int_Tables_number 119
_symmetry_space_group_name_Hall 'I -4 -2'
_cell_length_a 3.7979
_cell_length_b 3.7979
_cell_length_c 8.1181
_cell_angle_alpha 90.00
_cell_angle_beta 90.00
_cell_angle_gamma 90.00
loop_
_atom_site_label
_atom_site_fract_x
_atom_site_fract_y
_atom_site_fract_z
Mg1 0.0000 0.0000 0.0000
P1 0.0000 0.0000 0.5000
P2 0.0000 0.5000 0.7500
Ir1 0.0000 0.5000 0.2500
# ΔE_f: 0.044 eV/atom
# raw total energy: -5.2752 eV/atom